Here is InFeRh at its PBEsol-relaxed geometry from Alexandria via LeMat-Bulk. Energies are from meta-GGA SCAN. Values from VASP.

Geometry as Quantum ESPRESSO input:
```
&SYSTEM
  ibrav = 0, nat = 3, ntyp = 3
/
ATOMIC_SPECIES
Fe 55.84 Fe.upf
In 114.82 In.upf
Rh 102.91 Rh.upf
ATOMIC_POSITIONS angstrom
Fe 4.225 2.439 1.725
In 2.112 1.220 0.862
Rh 0.000 0.000 0.000
CELL_PARAMETERS angstrom
4.225 0.000 0.000
2.112 3.659 0.000
2.112 1.220 3.450
```

Summary:
Total energy in eV/atom: -28.028
Space group: No. 216

=====

Here is TlAsIr2 at its PBEsol-relaxed geometry from Alexandria via LeMat-Bulk. Energies are from meta-GGA SCAN. Values from VASP.

Geometry as Quantum ESPRESSO input:
```
&SYSTEM
  ibrav = 0, nat = 4, ntyp = 3
/
ATOMIC_SPECIES
Tl 204.38 Tl.upf
Ir 192.22 Ir.upf
As 74.92 As.upf
ATOMIC_POSITIONS angstrom
Tl 1.497 1.514 -0.003
Ir 0.837 0.000 5.208
Ir 0.851 0.000 2.257
As -0.653 1.514 3.735
CELL_PARAMETERS angstrom
2.993 0.000 -0.005
0.000 3.027 0.000
-1.305 0.000 7.470
```

Summary:
Distance to the lowest polymorph of the same formula in eV per atom: 0.0000
Space group: No. 10

=====

Here is LiHg2Au at its PBEsol-relaxed geometry from Alexandria via LeMat-Bulk. Energies are from meta-GGA SCAN. Values from VASP.

Geometry as Quantum ESPRESSO input:
```
&SYSTEM
  ibrav = 0, nat = 4, ntyp = 3
/
ATOMIC_SPECIES
Au 196.97 Au.upf
Hg 200.59 Hg.upf
Li 6.94 Li.upf
ATOMIC_POSITIONS angstrom
Au 0.000 0.000 0.000
Hg 0.000 2.704 1.015
Hg 2.251 3.851 2.952
Li 2.251 1.146 1.937
CELL_PARAMETERS angstrom
4.501 0.000 0.000
-2.251 4.263 0.093
0.000 2.292 3.874
```

Summary:
Total energy in eV/atom: -52.250
Space group: No. 139

=====

Here is AlNi6Os at its PBEsol-relaxed geometry from Alexandria via LeMat-Bulk. Energies are from meta-GGA SCAN. Values from VASP.

Geometry as Quantum ESPRESSO input:
```
&SYSTEM
  ibrav = 0, nat = 32, ntyp = 3
/
ATOMIC_SPECIES
Al 26.98 Al.upf
Ni 58.69 Ni.upf
Os 190.23 Os.upf
ATOMIC_POSITIONS angstrom
Al -0.004 4.334 0.000
Al 4.086 1.445 0.000
Al 2.041 2.889 7.544
Al 2.041 2.889 2.476
Ni -0.016 4.342 7.501
Ni 4.084 3.614 8.772
Ni -0.003 2.165 8.772
Ni 4.097 1.437 7.501
Ni 2.041 0.721 8.772
Ni 2.041 5.058 8.772
Ni 2.041 2.889 5.010
Ni -0.008 2.169 6.279
Ni 2.047 0.718 6.279
Ni -0.016 4.342 2.519
Ni 4.089 3.610 3.741
Ni -0.008 2.169 3.741
Ni 4.097 1.437 2.519
Ni 2.047 0.718 3.741
Ni 2.035 5.061 3.741
Ni 2.041 2.889 0.000
Ni -0.003 2.165 1.248
Ni 2.041 0.721 1.248
Ni 0.000 0.000 5.010
Ni 2.035 5.061 6.279
Ni 4.089 3.610 6.279
Ni 0.000 0.000 0.000
Ni 2.041 5.058 1.248
Ni 4.084 3.614 1.248
Os 0.015 4.320 5.010
Os 4.067 1.459 5.010
Os 0.000 0.000 7.547
Os 0.000 0.000 2.473
CELL_PARAMETERS angstrom
6.132 0.000 0.000
-2.050 5.779 0.000
0.000 0.000 10.020
```

Summary:
Total energy in eV/atom: -22.222
Space group: No. 65

=====

Here is As2P2Se at its PBEsol-relaxed geometry from Alexandria via LeMat-Bulk. Energies are from meta-GGA SCAN. Values from VASP.

Geometry as Quantum ESPRESSO input:
```
&SYSTEM
  ibrav = 0, nat = 5, ntyp = 3
/
ATOMIC_SPECIES
P 30.97 P.upf
As 74.92 As.upf
Se 78.96 Se.upf
ATOMIC_POSITIONS angstrom
P 0.000 2.007 2.971
P 2.007 0.000 2.971
As 0.000 0.000 4.465
As 2.007 2.007 1.478
Se 0.000 0.000 0.000
CELL_PARAMETERS angstrom
4.013 0.000 0.000
0.000 4.013 0.000
-2.007 -2.007 5.943
```

Summary:
Space group: No. 139
E_form (uncorrected) in kJ per mole of atoms: 47

=====

Here is Al2SiBr at its PBEsol-relaxed geometry from Alexandria via LeMat-Bulk. Energies are from meta-GGA SCAN. Values from VASP.

Geometry as Quantum ESPRESSO input:
```
&SYSTEM
  ibrav = 0, nat = 4, ntyp = 3
/
ATOMIC_SPECIES
Si 28.09 Si.upf
Al 26.98 Al.upf
Br 79.90 Br.upf
ATOMIC_POSITIONS angstrom
Si 0.000 2.470 2.492
Al 0.000 0.000 0.000
Al 1.506 0.000 2.492
Br 1.506 2.470 0.000
CELL_PARAMETERS angstrom
3.012 0.000 0.000
0.000 4.941 0.000
0.000 0.000 4.983
```

Summary:
Distance to the lowest polymorph of the same formula in eV per atom: 0.3145
Space group: No. 47
E_form (uncorrected) in kJ per mole of atoms: 44

=====

Here is Ta5W11 at its PBEsol-relaxed geometry from Alexandria via LeMat-Bulk. Energies are from meta-GGA SCAN. Values from VASP.

Geometry as Quantum ESPRESSO input:
```
&SYSTEM
  ibrav = 0, nat = 16, ntyp = 2
/
ATOMIC_SPECIES
Ta 180.95 Ta.upf
W 183.84 W.upf
ATOMIC_POSITIONS angstrom
Ta -1.691 -1.653 -2.102
Ta -0.402 -4.335 -1.064
Ta -4.125 -7.001 1.580
Ta -1.063 -3.008 3.161
Ta -1.789 -6.698 -0.538
W 0.000 -0.018 -0.003
W 1.293 -2.705 1.039
W -2.409 -5.345 3.712
W -3.718 -2.622 2.656
W -5.436 -4.278 0.525
W -2.352 -0.325 2.122
W -4.046 -1.958 0.020
W -2.753 -4.644 1.061
W -0.071 -5.041 1.593
W -1.381 -2.319 0.538
W -3.098 -3.975 -1.594
CELL_PARAMETERS angstrom
-4.697 -0.609 4.258
-3.420 -3.294 -4.244
2.610 -5.418 2.104
```

Summary:
Total energy in eV/atom: -68.808
Space group: No. 6

=====

Here is Mg3P2O8 at its PBEsol-relaxed geometry from Alexandria via LeMat-Bulk. Energies are from meta-GGA SCAN. Values from VASP.

Geometry as Quantum ESPRESSO input:
```
&SYSTEM
  ibrav = 0, nat = 52, ntyp = 3
/
ATOMIC_SPECIES
Mg 24.30 Mg.upf
O 16.00 O.upf
P 30.97 P.upf
ATOMIC_POSITIONS angstrom
Mg 5.651 3.753 3.606
Mg -1.067 -0.136 4.521
Mg 0.135 0.761 1.303
Mg 4.449 2.856 6.823
Mg -0.648 -1.545 7.100
Mg 5.232 5.162 1.026
Mg 3.071 3.075 2.123
Mg 1.513 0.541 6.003
Mg 0.349 5.120 2.642
Mg 4.235 -1.504 5.485
Mg 0.887 3.563 6.668
Mg 3.697 0.054 1.459
O 1.895 1.823 7.446
O 2.688 1.793 0.680
O 1.520 6.624 1.761
O 3.064 -3.008 6.366
O 3.227 4.902 1.030
O 1.357 -1.285 7.097
O 3.892 7.271 0.780
O 0.692 -3.654 7.347
O 3.642 4.153 3.705
O 0.942 -0.536 4.421
O 1.474 5.197 4.481
O 3.110 -1.581 3.645
O 7.414 -2.040 5.230
O -2.830 5.656 2.896
O 2.894 3.972 6.125
O 1.690 -0.356 2.001
O 5.196 0.919 0.382
O -0.612 2.697 7.744
O -0.815 5.087 0.862
O 5.399 -1.470 7.264
O -2.795 1.462 7.552
O 7.379 2.155 0.574
O 5.277 3.172 1.617
O -0.693 0.444 6.510
O 5.509 -0.112 4.410
O -0.925 3.729 3.716
O 3.834 1.298 3.095
O 0.750 2.319 5.032
O 5.155 2.346 4.967
O -0.571 1.270 3.160
O 3.473 0.536 5.545
O 1.111 3.080 2.581
P 1.942 -2.698 7.373
P 2.641 6.315 0.753
P 1.655 -1.249 3.269
P 2.928 4.865 4.858
P -1.258 1.312 7.703
P 5.842 2.305 0.423
P 0.102 2.582 3.659
P 4.481 1.035 4.468
CELL_PARAMETERS angstrom
8.522 0.001 0.001
-3.716 8.198 -0.012
-0.222 -4.582 8.138
```

Summary:
Distance to the lowest polymorph of the same formula in eV per atom: 0.0000
Space group: No. 2
E_form (uncorrected) in kJ per mole of atoms: -280